# MoIr2W (PBE-GGA, relaxed)
data_MoIr2W
_symmetry_space_group_name_H-M 'F m -3 m'
_symmetry_Int_Tables_number 225
_symmetry_space_group_name_Hall '-F 4 2 3'
_cell_length_a 6.299
_cell_length_b 6.299
_cell_length_c 6.299
_cell_angle_alpha 90.00
_cell_angle_beta 90.00
_cell_angle_gamma 90.00
loop_
_atom_site_label
_atom_site_fract_x
_atom_site_fract_y
_atom_site_fract_z
Mo1 0.000 0.000 0.000
Ir1 0.250 0.250 0.250
W1 0.000 0.000 0.500
# Distance to the lowest polymorph of the same formula (eV/atom): 0.6575
# Formation energy from the elements (eV per atom): 0.34
# Magnetic moment (μB/cell): 0.0